[1]
Computed, not measured: a relaxed structure of Ca3Ag2Au3 at the GGA-PBE level of DFT.

## Properties
Calculated volume   24.16 Å³/atom
Total energy   -104.60 eV/cell
E_form   -0.576 eV per atom
Energy relative to the lowest polymorph listed for this composition   0 meV/atom

The structure in CIF format:
```
data_Ca3Ag2Au3
_chemical_formula_sum 'Ca12 Ag8 Au12'
_space_group_name_H-M_alt 'C m c m'
_space_group_IT_number 63
_space_group_name_Hall '-C 2c 2'
_cell_length_a 4.465
_cell_length_b 11.383
_cell_length_c 15.214
_cell_angle_alpha 90.00
_cell_angle_beta 90.00
_cell_angle_gamma 90.00
loop_
_atom_site_label
_atom_site_type_symbol
_atom_site_fract_x
_atom_site_fract_y
_atom_site_fract_z
_atom_site_occupancy
Ca1 Ca 0.000 0.077 0.105 1
Ca2 Ca 0.000 0.352 0.250 1
Ag1 Ag 0.000 0.223 0.603 1
Au1 Au 0.000 0.372 0.750 1
Au2 Au 0.000 0.394 0.045 1
```

***

[2]
Computed, not measured: a relaxed structure of CaAg2Au8 at the GGA-PBE level of DFT.

## Properties
Calculated volume   24.49 Å³/atom
Total energy   -34.16 eV/cell
E_form   -0.021 eV per atom
Energy relative to the lowest polymorph listed for this composition   192 meV/atom

The structure in CIF format:
```
data_CaAg2Au8
_chemical_formula_sum 'Ca1 Ag2 Au8'
_space_group_name_H-M_alt 'P 4/m m m'
_space_group_IT_number 123
_space_group_name_Hall '-P 4 2'
_cell_length_a 5.501
_cell_length_b 5.501
_cell_length_c 8.901
_cell_angle_alpha 90.00
_cell_angle_beta 90.00
_cell_angle_gamma 90.00
loop_
_atom_site_label
_atom_site_type_symbol
_atom_site_fract_x
_atom_site_fract_y
_atom_site_fract_z
_atom_site_occupancy
Ca1 Ca 0.000 0.000 0.000 1
Ag1 Ag 0.000 0.500 0.500 1
Au1 Au 0.252 0.252 0.262 1
```

***

[3]
Computed, not measured: a relaxed structure of Ca5Ag2Au2 at the GGA-PBE level of DFT.

## Properties
Calculated volume   27.84 Å³/atom
Total energy   -107.52 eV/cell
E_form   -0.513 eV per atom

The structure in CIF format:
```
data_Ca5Ag2Au2
_chemical_formula_sum 'Ca20 Ag8 Au8'
_space_group_name_H-M_alt 'C m c e'
_space_group_IT_number 64
_space_group_name_Hall '-C 2ac 2'
_cell_length_a 15.643
_cell_length_b 7.958
_cell_length_c 8.050
_cell_angle_alpha 90.00
_cell_angle_beta 90.00
_cell_angle_gamma 90.00
loop_
_atom_site_label
_atom_site_type_symbol
_atom_site_fract_x
_atom_site_fract_y
_atom_site_fract_z
_atom_site_occupancy
Ca1 Ca 0.000 0.000 0.000 1
Ca2 Ca 0.135 0.172 0.331 1
Ag1 Ag 0.206 0.000 0.000 1
Au1 Au 0.000 0.129 0.630 1
```

***

[4]
Computed, not measured: a relaxed structure of Ca2Ag2Au3 at the GGA-PBE level of DFT.

## Properties
Calculated volume   22.20 Å³/atom
Total energy   -46.28 eV/cell
E_form   -0.514 eV per atom

The structure in CIF format:
```
data_Ca2Ag2Au3
_chemical_formula_sum 'Ca4 Ag4 Au6'
_space_group_name_H-M_alt 'C 1 2/m 1'
_space_group_IT_number 12
_cell_length_a 10.114
_cell_length_b 4.541
_cell_length_c 7.176
_cell_angle_alpha 90.00
_cell_angle_beta 109.39
_cell_angle_gamma 90.00
loop_
_space_group_symop_operation_xyz
'x,y,z'
'-x,-y,-z'
'-x,y,-z'
'x,-y,z'
'x+1/2,y+1/2,z'
'-x+1/2,-y+1/2,-z'
'-x+1/2,y+1/2,-z'
'x+1/2,-y+1/2,z'
loop_
_atom_site_label
_atom_site_type_symbol
_atom_site_fract_x
_atom_site_fract_y
_atom_site_fract_z
_atom_site_occupancy
Ca1 Ca 0.136 0.000 0.274 1
Ag1 Ag 0.116 0.500 0.931 1
Au1 Au 0.000 0.500 0.500 1
Au2 Au 0.159 0.000 0.710 1
```

***

[5]
Computed, not measured: a relaxed structure of Ca3Ag2Au at the GGA-PBE level of DFT.

## Properties
Calculated volume   25.09 Å³/atom
Total energy   -17.82 eV/cell
E_form   -0.473 eV per atom
Energy relative to the lowest polymorph listed for this composition   3 meV/atom

The structure in CIF format:
```
data_Ca3Ag2Au
_chemical_formula_sum 'Ca3 Ag2 Au1'
_space_group_name_H-M_alt 'P 4/m m m'
_space_group_IT_number 123
_space_group_name_Hall '-P 4 2'
_cell_length_a 3.717
_cell_length_b 3.717
_cell_length_c 10.898
_cell_angle_alpha 90.00
_cell_angle_beta 90.00
_cell_angle_gamma 90.00
loop_
_atom_site_label
_atom_site_type_symbol
_atom_site_fract_x
_atom_site_fract_y
_atom_site_fract_z
_atom_site_occupancy
Ca1 Ca 0.000 0.000 0.000 1
Ca2 Ca 0.000 0.000 0.340 1
Ag1 Ag 0.500 0.500 0.168 1
Au1 Au 0.500 0.500 0.500 1
```

***

[6]
Computed, not measured: a relaxed structure of Ca5Ag2Au at the GGA-PBE level of DFT.

## Properties
Calculated volume   29.04 Å³/atom
Total energy   -88.93 eV/cell
E_form   -0.406 eV per atom

The structure in CIF format:
```
data_Ca5Ag2Au
_chemical_formula_sum 'Ca20 Ag8 Au4'
_space_group_name_H-M_alt 'I 4/m c m'
_space_group_IT_number 140
_space_group_name_Hall '-I 4 2c'
_cell_length_a 7.871
_cell_length_b 7.871
_cell_length_c 15.000
_cell_angle_alpha 90.00
_cell_angle_beta 90.00
_cell_angle_gamma 90.00
loop_
_atom_site_label
_atom_site_type_symbol
_atom_site_fract_x
_atom_site_fract_y
_atom_site_fract_z
_atom_site_occupancy
Ca1 Ca 0.000 0.000 0.000 1
Ca2 Ca 0.170 0.330 0.148 1
Ag1 Ag 0.126 0.374 0.500 1
Au1 Au 0.000 0.000 0.250 1
```